The following is a GGA-PBE calculation of a geometry-optimized NdSm2RuN4 structure, from Alexandria via LeMat-Bulk.

Computed properties:
M_tot = 0.00 μB/f.u.
calculated total energy = -0.2940 hartree per atom

Cell: 3.4863 11.8937 11.9220 Å, 90.00 90.00 90.00°
Last column: nearest neighbours and their distance in Å.
Space group Cmcm (No. 63)
Asymmetric unit:
Nd (0.0000, 0.1209, 0.2500)  6 N 2.58-2.80
Sm (0.0000, 0.3685, 0.0428)  6 N 2.40-2.63
Ru (0.0000, 0.1455, 0.7500)  4 N 2.00-2.04
N (0.0000, 0.0000, 0.0000)  4 Sm 2.40
N (0.0000, 0.2700, 0.6326)  1 Ru 2.04
N (0.0000, 0.4362, 0.2500)  2 Ru 2.00

The following is a GGA-PBE calculation of a geometry-optimized HgGeBr2 structure, from Alexandria via LeMat-Bulk.

Computed properties:
ΔE to the lowest computed polymorph = 9.516 kcal/mol of atoms
M_tot = 0.00 μB/f.u.
calculated total energy = -0.0753 hartree per atom

Cell: 7.5080 7.5080 7.5080 Å, 90.00 90.00 90.00°
Last column: nearest neighbours and their distance in Å.
Space group Fm-3m (No. 225)
Asymmetric unit:
Hg (0.0000, 0.0000, 0.0000)  8 Br 3.25
Ge (0.0000, 0.0000, 0.5000)  8 Br 3.25
Br (0.2500, 0.2500, 0.2500)  4 Ge 3.25, 4 Hg 3.25

The following is a GGA-PBE calculation of a geometry-optimized Pm3AuO7 structure, from Alexandria via LeMat-Bulk.

Computed properties:
M_tot = 0.00 μB/f.u.
calculated total energy = -0.2603 hartree per atom

Cell: 7.7294 10.8680 7.6506 Å, 90.00 90.00 90.00°
Last column: nearest neighbours and their distance in Å.
Space group Cmcm (No. 63)
Asymmetric unit:
Pm (0.0000, 0.0000, 0.0000)  4 O 2.39-2.42
Pm (0.2366, 0.2657, 0.2500)  7 O 2.30-2.53
Au (0.0000, 0.5000, 0.0000)  6 O 2.05-2.07
O (0.0000, 0.1314, 0.7500)  4 Pm 2.32-2.39
O (0.0000, 0.1367, 0.2500)  4 Pm 2.30-2.42
O (0.0000, 0.4262, 0.2500)  2 Au 2.07
O (0.2007, 0.3776, 0.5243)  1 Au 2.05

The following is a GGA-PBE calculation of a geometry-optimized AcLaTlSn structure, from Alexandria via LeMat-Bulk.

Computed properties:
ΔE to the lowest computed polymorph = 1.439 kcal/mol of atoms
M_tot = 0.00 μB/f.u.
calculated total energy = -0.1604 hartree per atom
formation energy = -0.514 eV per atom

Cell: 8.0791 8.0791 8.0791 Å, 90.00 90.00 90.00°
Last column: nearest neighbours and their distance in Å.
Space group F-43m (No. 216)
Asymmetric unit:
Ac (0.0000, 0.0000, 0.0000)  4 Tl 3.50, 4 Sn 3.50
La (0.0000, 0.0000, 0.5000)  4 Tl 3.50, 4 Sn 3.50
Tl (0.2500, 0.2500, 0.2500)  4 La 3.50, 4 Ac 3.50
Sn (0.2500, 0.2500, 0.7500)  4 Ac 3.50, 4 La 3.50

The following is a GGA-PBE calculation of a geometry-optimized Cd3CoRu structure, from Alexandria via LeMat-Bulk.

Computed properties:
ΔE to the lowest computed polymorph = 0.000 kcal/mol of atoms
M_tot = 2.50 μB/f.u.
calculated total energy = -0.1000 hartree per atom
formation energy = 1.104 eV per atom

Cell: 4.7996 4.7996 4.7996 Å, 90.00 90.00 90.00°
Last column: nearest neighbours and their distance in Å.
Space group Pm-3m (No. 221)
Asymmetric unit:
Cd (0.0000, 0.0000, 0.5000)  2 Co 2.40
Co (0.0000, 0.0000, 0.0000)  6 Cd 2.40
Ru (0.5000, 0.5000, 0.5000)  12 Cd 3.39

The following is a GGA-PBE calculation of a geometry-optimized CaTl2Cl structure, from Alexandria via LeMat-Bulk.

Computed properties:
ΔE to the lowest computed polymorph = 12.667 kcal/mol of atoms
M_tot = 0.00 μB/f.u.
calculated total energy = -0.0894 hartree per atom

Cell: 7.8754 7.8754 7.8754 Å, 90.00 90.00 90.00°
Last column: nearest neighbours and their distance in Å.
Space group Fm-3m (No. 225)
Asymmetric unit:
Ca (0.0000, 0.0000, 0.0000)  8 Tl 3.41
Tl (0.2500, 0.2500, 0.2500)  4 Cl 3.41, 4 Ca 3.41
Cl (0.0000, 0.0000, 0.5000)  8 Tl 3.41